VASP calculation (PBE) on a relaxed structure of K2AgBr.

Geometry as POSCAR:
```
K2AgBr
1.0
-4.340 4.340 4.859
4.340 -4.340 4.859
4.340 4.340 -4.859
K Ag Br
4 2 2
Direct
0.105 0.125 0.480 K
0.375 0.895 0.020 K
0.645 0.625 0.520 K
0.875 0.355 0.980 K
0.250 0.750 0.500 Ag
0.500 0.500 0.000 Ag
0.000 0.000 0.000 Br
0.750 0.250 0.500 Br
```

Its energy relative to the elements, uncorrected is -0.711 eV per atom. For the density of states at the Fermi level, the calculation gives 0.00 states/eV/cell. The calculation puts the total magnetic moment at 0.000 μB per cell. The value obtained for the density is 2.41 Mg/m³.